(1)
The following is a DFT calculation (PBE) of a relaxed Ca3CeHo2Te6 crystal.

Calculated values
Its total energy is -4.7701 eV/atom. Its formation energy (no corrections) is -1.441 eV per atom.

Geometry as CIF:
```
data_Ca3CeHo2Te6
_cell_length_a 7.653
_cell_length_b 13.244
_cell_length_c 7.794
_cell_angle_alpha 90.00
_cell_angle_beta 109.12
_cell_angle_gamma 90.00
_symmetry_space_group_name_H-M 'C 1 2/m 1'
_symmetry_Int_Tables_number 12
_symmetry_space_group_name_Hall '-C 2y'
loop_
_atom_site_label
_atom_site_type_symbol
_atom_site_fract_x
_atom_site_fract_y
_atom_site_fract_z
Ca1 Ca 0.000 0.000 0.000
Ca2 Ca 0.000 0.336 0.000
Ce1 Ce 0.000 0.500 0.500
Ho1 Ho 0.000 0.168 0.500
Te1 Te 0.240 0.000 0.746
Te2 Te 0.246 0.171 0.252
```

***

(2)
The following is a DFT calculation (PBE) of a relaxed Cr2InRe crystal.

Calculated values
Its total energy is -8.2053 eV/atom. The calculation puts the formation enthalpy at 0 K at 403 meV per atom.

Geometry as CIF:
```
data_Cr2InRe
_cell_length_a 2.821
_cell_length_b 3.907
_cell_length_c 5.604
_cell_angle_alpha 90.00
_cell_angle_beta 98.44
_cell_angle_gamma 90.00
_symmetry_space_group_name_H-M 'P 1 m 1'
_symmetry_Int_Tables_number 6
_symmetry_space_group_name_Hall 'P -2y'
loop_
_atom_site_label
_atom_site_type_symbol
_atom_site_fract_x
_atom_site_fract_y
_atom_site_fract_z
Cr1 Cr 0.000 0.000 0.000
Cr2 Cr 0.380 0.500 0.203
In1 In 0.973 0.000 0.490
Re1 Re 0.574 0.500 0.796
```

***

(3)
The following is a DFT calculation (PBE) of a relaxed Li2AgTe crystal.

Calculated values
Its total energy is -2.7438 eV/atom. Its formation energy (no corrections) is -0.289 eV per atom.

Geometry as CIF:
```
data_Li2AgTe
_cell_length_a 4.424
_cell_length_b 4.424
_cell_length_c 18.062
_cell_angle_alpha 90.00
_cell_angle_beta 90.00
_cell_angle_gamma 90.00
_symmetry_space_group_name_H-M 'I -4 2 d'
_symmetry_Int_Tables_number 122
_symmetry_space_group_name_Hall 'I -4 2bw'
loop_
_atom_site_label
_atom_site_type_symbol
_atom_site_fract_x
_atom_site_fract_y
_atom_site_fract_z
Li1 Li 0.240 0.250 0.125
Ag1 Ag 0.000 0.000 0.500
Te1 Te 0.000 0.000 0.000
```

***

(4)
The following is a DFT calculation (PBE) of a relaxed TcHSCl2 crystal.

Calculated values
Its total energy is -3.5266 eV/atom.

Geometry as CIF:
```
data_TcHSCl2
_cell_length_a 5.117
_cell_length_b 5.117
_cell_length_c 3.260
_cell_angle_alpha 90.00
_cell_angle_beta 90.00
_cell_angle_gamma 90.00
_symmetry_space_group_name_H-M 'P 4/m m m'
_symmetry_Int_Tables_number 123
_symmetry_space_group_name_Hall '-P 4 2'
loop_
_atom_site_label
_atom_site_type_symbol
_atom_site_fract_x
_atom_site_fract_y
_atom_site_fract_z
Tc1 Tc 0.000 0.000 0.000
H1 H 0.500 0.500 0.500
S1 S 0.500 0.500 0.000
Cl1 Cl 0.000 0.500 0.500
```